The following is a DFT calculation (GGA-PBE) of a relaxed DyErPI2 crystal.

Unit cell a=4.0795 b=4.0795 c=10.7616 alpha=90.00 beta=90.00 gamma=120.00
Space group P3m1 (No. 156)
Symmetry-distinct sites (fractional):
Dy (0.0000, 0.0000, 0.0000) [1 per cell]
Er (0.6667, 0.3333, 0.7264) [1 per cell]
P (0.3333, 0.6667, 0.8611) [1 per cell]
I (0.0000, 0.0000, 0.5375) [1 per cell]
I (0.6667, 0.3333, 0.1912) [1 per cell]

Results
E, eV per atom: -5.045

The following is a DFT calculation (GGA-PBE) of a relaxed KBeFeTc crystal.

Unit cell a=6.325 b=6.325 c=6.325 alpha=90.00 beta=90.00 gamma=90.00
Space group F-43m (No. 216)
Symmetry-distinct sites (fractional):
K (0.000, 0.000, 0.000) [4 per cell]
Be (0.000, 0.000, 0.500) [4 per cell]
Fe (0.250, 0.250, 0.250) [4 per cell]
Tc (0.250, 0.250, 0.750) [4 per cell]

Results
E, eV per atom: -4.326
Energy relative to the lowest polymorph listed for this composition, meV per atom: 147.0

The following is a DFT calculation (GGA-PBE) of a relaxed TeAsPdO crystal.

Unit cell a=4.129 b=6.360 c=6.142 alpha=90.00 beta=90.00 gamma=90.00
Space group Pmc2_1 (No. 26)
Symmetry-distinct sites (fractional):
Te (0.000, 0.237, 0.000) [2 per cell]
As (0.000, 0.190, 0.441) [2 per cell]
Pd (0.500, 0.340, 0.577) [2 per cell]
O (0.500, 0.296, 0.998) [2 per cell]

Results
E, eV per atom: -4.584
Energy relative to the lowest polymorph listed for this composition, meV per atom: 103.1

The following is a DFT calculation (GGA-PBE) of a relaxed Er4Ni3Pd crystal.

Unit cell a=5.402 b=4.306 c=6.914 alpha=90.00 beta=90.25 gamma=90.00
Space group Pm (No. 6)
Symmetry-distinct sites (fractional):
Er (0.000, 0.000, 0.000) [1 per cell]
Er (0.223, 0.000, 0.507) [1 per cell]
Er (0.492, 0.500, 0.135) [1 per cell]
Er (0.725, 0.500, 0.648) [1 per cell]
Ni (0.005, 0.500, 0.281) [1 per cell]
Ni (0.230, 0.500, 0.784) [1 per cell]
Ni (0.492, 0.000, 0.857) [1 per cell]
Pd (0.718, 0.000, 0.361) [1 per cell]

Results
E, eV per atom: -5.614
DFT formation energy, eV per atom: -0.60

The following is a DFT calculation (GGA-PBE) of a relaxed YCoHgBi crystal.

Unit cell a=7.038 b=7.038 c=7.038 alpha=90.00 beta=90.00 gamma=90.00
Space group F-43m (No. 216)
Symmetry-distinct sites (fractional):
Y (0.000, 0.000, 0.000) [4 per cell]
Co (0.000, 0.000, 0.500) [4 per cell]
Hg (0.250, 0.250, 0.750) [4 per cell]
Bi (0.250, 0.250, 0.250) [4 per cell]

Results
E, eV per atom: -4.463
Energy relative to the lowest polymorph listed for this composition, meV per atom: 0.0

The following is a DFT calculation (GGA-PBE) of a relaxed Pm2TlF7 crystal.

Unit cell a=7.125 b=11.283 c=4.400 alpha=90.00 beta=90.00 gamma=90.00
Space group Cmmm (No. 65)
Symmetry-distinct sites (fractional):
Pm (0.000, 0.196, 0.000) [4 per cell]
Tl (0.000, 0.500, 0.500) [2 per cell]
F (0.000, 0.000, 0.000) [2 per cell]
F (0.000, 0.226, 0.500) [4 per cell]
F (0.190, 0.363, 0.000) [8 per cell]

Results
E, eV per atom: -6.100